# 1
# La4CuRhBr2

Crystalline La4CuRhBr2 at its relaxed geometry (PBE, Alexandria via LeMat-Bulk).

Summary:
density	5.99	g/cm3
electronic total energy	-41.97	eV/cell
space-group type	P2/m (10)

Cell: 7.2848 4.2705 8.2342 Å, 90.00 107.34 90.00°
With the nearest neighbours (Å) after each atom.
Element x y z (fractional)
1 La 0.2318 0.0000 0.1990  1 Cu 2.90, 2 Rh 2.91
2 La 0.2540 0.5000 0.7994  1 Rh 2.82, 2 Cu 2.96
3 La 0.7460 0.5000 0.2006  1 Rh 2.82, 2 Cu 2.96
4 La 0.7682 0.0000 0.8010  1 Cu 2.90, 2 Rh 2.91
5 Cu 0.5000 0.0000 0.0000  6 La 2.90-2.96
6 Rh 0.0000 0.5000 0.0000  6 La 2.82-2.91
7 Br 0.0000 0.0000 0.5000  6 La 3.37-3.39
8 Br 0.5000 0.5000 0.5000  6 La 3.41-3.45

# 2
# La6CuRh2Br3

Crystalline La6CuRh2Br3 at its relaxed geometry (PBE, Alexandria via LeMat-Bulk).

Summary:
density	6.07	g/cm3
electronic total energy	-65.66	eV/cell
space-group type	C2/m (12)

Cell: 7.3159 7.3159 8.2865 Å, 98.48 98.48 119.98°
With the nearest neighbours (Å) after each atom.
Element x y z (fractional)
1 La 0.0912 0.4340 0.8018  2 Rh 2.87, 1 Cu 2.96
2 La 0.2233 0.2233 0.1982  2 Rh 2.87, 1 Cu 2.96
3 La 0.4340 0.0912 0.8018  2 Rh 2.87, 1 Cu 2.96
4 La 0.5660 0.9088 0.1982  2 Rh 2.87, 1 Cu 2.96
5 La 0.7767 0.7767 0.8018  2 Rh 2.87, 1 Cu 2.96
6 La 0.9088 0.5660 0.1982  2 Rh 2.87, 1 Cu 2.96
7 Cu 0.5000 0.5000 0.0000  6 La 2.96
8 Rh 0.1667 0.8333 0.0000  6 La 2.87
9 Rh 0.8333 0.1667 0.0000  6 La 2.87
10 Br 0.0000 0.0000 0.5000  6 La 3.37-3.44
11 Br 0.3338 0.6662 0.5000  6 La 3.37-3.44
12 Br 0.6662 0.3338 0.5000  6 La 3.37-3.44

# 3
# La6Cu2RhBr3

Crystalline La6Cu2RhBr3 at its relaxed geometry (PBE, Alexandria via LeMat-Bulk).

Summary:
density	6.00	g/cm3
electronic total energy	-60.34	eV/cell
space-group type	C2/m (12)

Cell: 10.0658 10.0658 9.1746 Å, 109.46 109.46 24.38°
With the nearest neighbours (Å) after each atom.
Element x y z (fractional)
1 La 0.0086 0.0086 0.2212  2 Rh 2.90, 1 Cu 2.96
2 La 0.3254 0.3254 0.4300  3 Cu 2.91-2.96
3 La 0.3473 0.3473 0.8964  1 Rh 2.83, 2 Cu 2.99
4 La 0.6527 0.6527 0.1036  1 Rh 2.83, 2 Cu 2.99
5 La 0.6746 0.6746 0.5700  3 Cu 2.91-2.96
6 La 0.9914 0.9914 0.7788  2 Rh 2.90, 1 Cu 2.96
7 Cu 0.1688 0.1688 0.3415  6 La 2.91-2.99
8 Cu 0.8312 0.8312 0.6585  6 La 2.91-2.99
9 Rh 0.5000 0.5000 0.0000  6 La 2.83-2.90
10 Br 0.1692 0.1692 0.8349  6 La 3.26-3.36
11 Br 0.5000 0.5000 0.5000  6 La 3.27-3.37
12 Br 0.8308 0.8308 0.1651  6 La 3.26-3.36

# 4
# LaCuRu2Br

Crystalline LaCuRu2Br at its relaxed geometry (PBE, Alexandria via LeMat-Bulk).

Summary:
density	7.86	g/cm3
electronic total energy	-25.89	eV/cell
space-group type	P4/mmm (123)

Cell: 4.7074 4.7074 4.6218 Å, 90.00 90.00 90.00°
With the nearest neighbours (Å) after each atom.
Element x y z (fractional)
1 La 0.0000 0.0000 0.0000  8 Ru 3.30, 4 Cu 3.33
2 Cu 0.5000 0.5000 0.0000  2 Br 2.31
3 Ru 0.0000 0.5000 0.5000  2 Br 2.35
4 Ru 0.5000 0.0000 0.5000  2 Br 2.35
5 Br 0.5000 0.5000 0.5000  2 Cu 2.31, 4 Ru 2.35

Q: The lowest density belongs to which entry?
A: La4CuRhBr2

Q: Which formula does entry 1 have?
A: La4CuRhBr2